BaCoO3: optimized geometry, PBE with a Hubbard U.

The structure in POSCAR format:
```
BaCoO3
1.0
-3.7132 1.1254 -0.7172
-0.8410 -3.6199 -1.3257
-1.0361 -1.0947 3.6465
Ba Co O
1 1 3
Direct
0.0000 0.0000 0.0000
0.5000 0.5000 0.5000
0.5000 0.5000 0.0000
0.5000 0.0000 0.5000
0.0000 0.5000 0.5000
```

Values from the calculation:
DFT total energy = -5.86 eV per atom